# 1
The following is a GGA-PBE calculation of MnAlGa2S6 after structural relaxation, from Alexandria.

Geometry as POSCAR:
```
MnAlGa2S6
1.0
-3.972 -1.441 4.615
5.428 -2.223 5.376
0.141 7.034 3.716
Mn Al Ga S
2 2 4 12
Direct
0.250 0.904 0.096
0.750 0.096 0.904
0.250 0.259 0.741
0.750 0.741 0.259
0.202 0.777 0.591
0.298 0.409 0.223
0.798 0.223 0.409
0.702 0.591 0.777
0.122 0.977 0.803
0.378 0.197 0.023
0.878 0.023 0.197
0.622 0.803 0.977
0.402 0.887 0.358
0.098 0.642 0.113
0.598 0.113 0.642
0.902 0.358 0.887
0.871 0.719 0.537
0.629 0.463 0.281
0.129 0.281 0.463
0.371 0.537 0.719
```

* ΔE_f (raw): -674 meV per atom
* M_tot: 4.01 μB per formula unit
* SG: C2/c (15)
* E: -5.0468 eV/atom

# 2
The following is a GGA-PBE calculation of MnAl2GaSe6 after structural relaxation, from Alexandria.

Geometry as POSCAR:
```
MnAl2GaSe6
1.0
-2.741 -3.851 -4.575
7.077 -3.616 -3.096
-0.799 -7.143 4.592
Mn Al Ga Se
2 4 2 12
Direct
0.250 0.903 0.097
0.750 0.097 0.903
0.205 0.778 0.597
0.295 0.403 0.222
0.795 0.222 0.403
0.705 0.597 0.778
0.250 0.260 0.740
0.750 0.740 0.260
0.121 0.973 0.806
0.379 0.194 0.027
0.879 0.027 0.194
0.621 0.806 0.973
0.396 0.894 0.362
0.104 0.638 0.106
0.604 0.106 0.638
0.896 0.362 0.894
0.879 0.720 0.545
0.621 0.455 0.280
0.121 0.280 0.455
0.379 0.545 0.720
```

* ΔE_f (raw): -569 meV per atom
* M_tot: 4.00 μB per formula unit
* SG: C2/c (15)
* E: -4.6275 eV/atom

# 3
The following is a GGA-PBE calculation of MnAlGa2Se6 after structural relaxation, from Alexandria.

Geometry as POSCAR:
```
MnAlGa2Se6
1.0
-1.444 5.078 3.995
-5.783 3.654 -4.920
-6.569 -3.528 3.926
Mn Al Ga Se
2 2 4 12
Direct
0.250 0.905 0.095
0.750 0.095 0.905
0.250 0.257 0.743
0.750 0.743 0.257
0.207 0.775 0.590
0.293 0.410 0.225
0.793 0.225 0.410
0.707 0.590 0.775
0.122 0.975 0.805
0.378 0.195 0.025
0.878 0.025 0.195
0.622 0.805 0.975
0.405 0.894 0.357
0.095 0.643 0.106
0.595 0.106 0.643
0.905 0.357 0.894
0.871 0.724 0.536
0.629 0.464 0.276
0.129 0.276 0.464
0.371 0.536 0.724
```

* ΔE_f (raw): -537 meV per atom
* M_tot: 4.00 μB per formula unit
* SG: C2/c (15)
* E: -4.5244 eV/atom

# 4
The following is a GGA-PBE calculation of SrMnAlGa2 after structural relaxation, from Alexandria.

Geometry as POSCAR:
```
SrMnAlGa2
1.0
4.711 0.000 0.000
0.000 4.711 0.000
0.000 0.000 4.655
Sr Mn Al Ga
1 1 1 2
Direct
0.500 0.500 0.500
0.000 0.000 0.000
0.000 0.000 0.500
0.000 0.500 0.000
0.500 0.000 0.000
```

* M_tot: 0.00 μB per formula unit
* SG: P4/mmm (123)
* E: -4.4107 eV/atom